Entry 1:
# Ca2Ac2Pr5 GGA-PBE optimized geometry
# Energy relative to the elements (eV per atom): 0.21
# Magnetization (μB per formula unit): 0.0
# Mass density (g/cm³): 5.619
# Density of states at the Fermi level (states/eV/f.u.): 12.99
# V (Å³/cell): 732.1
data_Ca2Ac2Pr5
_chemical_formula_sum 'Ca4 Ac4 Pr10'
_cell_length_a 23.413
_cell_length_b 3.705
_cell_length_c 8.487
_cell_angle_alpha 90.00
_cell_angle_beta 96.05
_cell_angle_gamma 90.00
_space_group_name_H-M_alt 'C 1 2/m 1'
_space_group_IT_number 12
loop_
_space_group_symop_operation_xyz
'x,y,z'
'-x,-y,-z'
'-x,y,-z'
'x,-y,z'
'x+1/2,y+1/2,z'
'-x+1/2,-y+1/2,-z'
'-x+1/2,y+1/2,-z'
'x+1/2,-y+1/2,z'
loop_
_atom_site_label
_atom_site_fract_x
_atom_site_fract_y
_atom_site_fract_z
Ca1 0.187 0.000 0.128
Ac1 0.055 0.500 0.345
Pr1 0.000 0.000 0.000
Pr2 0.094 0.000 0.739
Pr3 0.192 0.500 0.550

Entry 2:
# NpCoNiP2 GGA-PBE optimized geometry
# Energy relative to the elements (eV per atom): -0.73
# Magnetization (μB per formula unit): 2.9
# Mass density (g/cm³): 9.911
# Density of states at the Fermi level (states/eV/f.u.): 8.44
# V (Å³/cell): 139.6
data_NpCoNiP2
_chemical_formula_sum 'Np2 Co2 Ni2 P4'
_cell_length_a 3.787
_cell_length_b 3.787
_cell_length_c 9.732
_cell_angle_alpha 90.00
_cell_angle_beta 90.00
_cell_angle_gamma 90.00
_space_group_name_H-M_alt 'I -4 m 2'
_space_group_IT_number 119
_space_group_name_Hall 'I -4 -2'
loop_
_atom_site_label
_atom_site_fract_x
_atom_site_fract_y
_atom_site_fract_z
Np1 0.000 0.000 0.000
Co1 0.000 0.500 0.250
Ni1 0.000 0.500 0.750
P1 0.000 0.000 0.379

Entry 3:
# TmTaS2 GGA-PBE optimized geometry
# Uncorrected formation energy (eV per formula unit): -3.3
# Magnetization (μB per formula unit): 0.0
# Mass density (g/cm³): 7.986
# Density of states at the Fermi level (states/eV/f.u.): 2.19
# V (Å³/cell): 258.3
data_TmTaS2
_chemical_formula_sum 'Tm3 Ta3 S6'
_cell_length_a 3.4205
_cell_length_b 3.4205
_cell_length_c 25.4886
_cell_angle_alpha 90.00
_cell_angle_beta 90.00
_cell_angle_gamma 120.00
_space_group_name_H-M_alt 'R -3 m'
_space_group_IT_number 166
_space_group_name_Hall '-R 3 2"'
loop_
_atom_site_label
_atom_site_fract_x
_atom_site_fract_y
_atom_site_fract_z
Tm1 0.0000 0.0000 0.0000
Ta1 0.0000 0.0000 0.5000
S1 0.0000 0.0000 0.1058

Entry 4:
# SrTeIrF2 GGA-PBE optimized geometry
# Uncorrected formation energy (eV per formula unit): -6.0
# Magnetization (μB per formula unit): 0.0
# Mass density (g/cm³): 5.617
# Density of states at the Fermi level (states/eV/f.u.): 3.64
# V (Å³/cell): 131.7
data_SrTeIrF2
_chemical_formula_sum 'Sr1 Te1 Ir1 F2'
_cell_length_a 4.294
_cell_length_b 4.294
_cell_length_c 7.141
_cell_angle_alpha 90.00
_cell_angle_beta 90.00
_cell_angle_gamma 90.00
_space_group_name_H-M_alt 'P 4/m m m'
_space_group_IT_number 123
_space_group_name_Hall '-P 4 2'
loop_
_atom_site_label
_atom_site_fract_x
_atom_site_fract_y
_atom_site_fract_z
Sr1 0.000 0.000 0.000
Te1 0.500 0.500 0.500
Ir1 0.000 0.000 0.500
F1 0.000 0.500 0.000